w:
VASP calculation (meta-GGA SCAN) on a PBEsol-optimized structure of BaBe.

* total magnetization: 0.00 μB per atom
* D(E_F): 4.37 states/eV/cell

Unit cell a=4.251 b=5.490 c=5.490 alpha=120.00 beta=90.00 gamma=90.00
Fractional coordinates of all 4 atoms:
1 Ba 0.250 0.333 0.667
2 Be 0.750 0.000 0.000
3 Be 0.250 0.000 0.000
4 Ba 0.750 0.667 0.333

x:
VASP calculation (meta-GGA SCAN) on a PBEsol-optimized structure of BaBe.

* total magnetization: 0.00 μB per atom
* D(E_F): 1.41 states/eV/cell

Unit cell a=3.886 b=3.886 c=3.886 alpha=90.00 beta=90.00 gamma=90.00
Fractional coordinates of all 2 atoms:
1 Be 0.000 0.000 0.000
2 Ba 0.500 0.500 0.500

The relative energies come out as w 0.0; x 27.0, with values in kJ/mol of atoms.

w:
VASP calculation (meta-GGA SCAN) on a PBEsol-optimized structure of BaCaBe.

* total magnetization: 0.33 μB per atom
* D(E_F): 4.16 states/eV/cell

Unit cell a=5.221 b=5.221 c=5.221 alpha=60.00 beta=60.00 gamma=60.00
Fractional coordinates of all 3 atoms:
1 Be 0.500 0.500 0.500
2 Ca 0.250 0.250 0.250
3 Ba 0.000 0.000 0.000

x:
VASP calculation (meta-GGA SCAN) on a PBEsol-optimized structure of BaCaBe.

* total magnetization: 0.01 μB per atom
* D(E_F): 2.33 states/eV/cell

Unit cell a=4.261 b=4.261 c=7.192 alpha=90.00 beta=90.00 gamma=120.00
Fractional coordinates of all 3 atoms:
1 Be 0.667 0.333 0.645
2 Ca 0.333 0.667 0.427
3 Ba 0.000 0.000 0.929

The relative energies come out as w 38.5; x 0.0, with values in kJ/mol of atoms.